This record from Alexandria describes Sm4TeSe2N2 after structural relaxation. The functional is PBE.

Unit cell a=3.9624 b=8.7436 c=8.6445 alpha=123.18 beta=90.00 gamma=103.10
Last column: nearest neighbours and their distance in Å.
Fractional coordinates of all 9 atoms:
Sm 0.7670 0.5339 0.8550  3 N 2.28-2.36
Sm 0.2330 0.4661 0.1450  3 N 2.28-2.36
Sm 0.4782 0.9563 0.2604  1 N 2.20
Sm 0.5218 0.0437 0.7396  1 N 2.20
Te 0.0000 0.0000 0.0000  6 Sm 3.17-3.43
Se 0.8849 0.7697 0.4399  6 Sm 3.05-3.41
Se 0.1151 0.2303 0.5601  6 Sm 3.05-3.41
N 0.3265 0.6530 0.0328  4 Sm 2.20-2.36
N 0.6735 0.3470 0.9672  4 Sm 2.20-2.36

Properties
- crystal system = monoclinic
- space-group type = C2/m, No. 12
- size of the total moment (μB/f.u.) = 0.00
- energy (eV/atom) = -6.66
- ΔE_f (raw) (eV/atom) = -1.59